Record 1
A relaxed BeRe2 crystal, computed with PBE.

a b c (Å): 3.875 3.875 3.875
angles (deg): 60.00 60.00 60.00
Element x y z (fractional)
Re (0.750, 0.750, 0.750)
Re (0.250, 0.250, 0.250)
Be (0.000, 0.000, 0.000)

Values from the calculation:
Its calculated total energy is -0.32651 hartree per atom. The distance to the lowest polymorph of the same formula is 928 meV per atom. For the formation enthalpy at 0 K, the calculation gives 656 meV per atom. The density of states at the Fermi level is 3.37 states/eV/cell.



Record 2
A relaxed Tc2IO2 crystal, computed with PBE.

a b c (Å): 3.947 3.947 5.767
angles (deg): 69.99 69.99 90.00
Element x y z (fractional)
I (0.000, 0.000, 0.000)
Tc (0.750, 0.250, 0.500)
Tc (0.250, 0.750, 0.500)
O (0.324, 0.324, 0.351)
O (0.676, 0.676, 0.649)

Values from the calculation:
Its calculated total energy is -0.23809 hartree per atom. The distance to the lowest polymorph of the same formula is 0 meV per atom. For the formation energy without anion corrections, the calculation gives -0.0390 eV/atom. The density of states at the Fermi level is 7.24 states/eV/cell.



Record 3
A relaxed La2NbGe4Ir3 crystal, computed with PBE.

a b c (Å): 4.275 4.275 10.770
angles (deg): 90.00 90.00 90.00
Element x y z (fractional)
La (0.500, 0.000, 0.239)
La (0.000, 0.500, 0.761)
Nb (0.500, 0.500, 0.500)
Ge (0.500, 0.500, 0.000)
Ge (0.000, 0.000, 0.000)
Ge (0.500, 0.000, 0.645)
Ge (0.000, 0.500, 0.355)
Ir (0.000, 0.000, 0.500)
Ir (0.500, 0.000, 0.878)
Ir (0.000, 0.500, 0.122)

Values from the calculation:
Its calculated total energy is -0.26492 hartree per atom. For the formation enthalpy at 0 K, the calculation gives -711 meV per atom. The density of states at the Fermi level is 6.07 states/eV/cell.



Record 4
A relaxed CrCdCuC2 crystal, computed with PBE.

a b c (Å): 3.747 5.293 3.747
angles (deg): 90.00 90.00 90.00
Site moments in Bohr magnetons follow the coordinates.
Element x y z (fractional)
Cr (0.000, 0.000, 0.000)  1.01
C (0.000, 0.000, 0.500)  -0.05
C (0.500, 0.000, 0.000)  -0.08
Cu (0.500, 0.500, 0.500)  0.02
Cd (0.000, 0.500, 0.000)  0.02

Values from the calculation:
Its calculated total energy is -0.18908 hartree per atom. For the formation enthalpy at 0 K, the calculation gives 1471 meV per atom. The density of states at the Fermi level is 2.93 states/eV/cell.



Record 5
A relaxed ReSi crystal, computed with PBE.

a b c (Å): 4.924 4.924 4.980
angles (deg): 90.00 90.00 90.00
Element x y z (fractional)
Re (0.295, 0.295, 0.000)
Re (0.795, 0.205, 0.500)
Re (0.205, 0.795, 0.500)
Re (0.705, 0.705, 0.000)
Si (0.199, 0.801, 0.000)
Si (0.699, 0.699, 0.500)
Si (0.301, 0.301, 0.500)
Si (0.801, 0.199, 0.000)

Values from the calculation:
Its calculated total energy is -0.30640 hartree per atom. For the formation energy without anion corrections, the calculation gives 0.5980 eV/atom. The density of states at the Fermi level is 10.22 states/eV/cell.



Record 6
A relaxed NaAg2RhF6 crystal, computed with PBE.

a b c (Å): 5.942 5.942 5.828
angles (deg): 59.36 59.37 59.99
Site moments in Bohr magnetons follow the coordinates.
Element x y z (fractional)
Na (0.816, 0.816, 0.552)  0.00
Ag (0.562, 0.562, 0.315)  0.00
Ag (0.071, 0.070, 0.789)  0.00
Rh (0.316, 0.316, 0.051)  0.07
F (0.538, 0.184, 0.293)  0.00
F (0.184, 0.985, 0.292)  0.00
F (0.984, 0.540, 0.291)  0.00
F (0.449, 0.647, 0.810)  0.00
F (0.648, 0.093, 0.812)  0.00
F (0.094, 0.448, 0.810)  0.00

Values from the calculation:
Its calculated total energy is -0.15283 hartree per atom. For the formation energy without anion corrections, the calculation gives -1.5987 eV/atom.



Record 7
A relaxed Pa2Al3Zn crystal, computed with PBE.

a b c (Å): 5.602 5.602 8.591
angles (deg): 90.00 90.00 120.00
Element x y z (fractional)
Pa (0.667, 0.333, 0.413)
Pa (0.333, 0.667, 0.587)
Pa (0.333, 0.667, 0.913)
Pa (0.667, 0.333, 0.087)
Al (0.172, 0.344, 0.250)
Al (0.344, 0.172, 0.750)
Al (0.828, 0.656, 0.750)
Al (0.172, 0.828, 0.250)
Al (0.828, 0.172, 0.750)
Al (0.656, 0.828, 0.250)
Zn (0.000, 0.000, 0.500)
Zn (0.000, 0.000, 0.000)

Values from the calculation:
Its calculated total energy is -0.20270 hartree per atom. For the formation enthalpy at 0 K, the calculation gives -267 meV per atom. The density of states at the Fermi level is 16.52 states/eV/cell.



Record 8
A relaxed K4Ac3PrS8 crystal, computed with PBE.

a b c (Å): 8.769 8.979 8.769
angles (deg): 119.25 120.00 90.00
Element x y z (fractional)
K (0.500, 0.000, 0.000)
K (0.500, 0.000, 0.500)
K (0.000, 0.000, 0.000)
K (0.000, 0.000, 0.500)
Ac (0.500, 0.500, 0.000)
Ac (0.500, 0.500, 0.500)
Ac (0.000, 0.500, 0.500)
Pr (0.000, 0.500, 0.000)
S (0.233, 0.711, 0.978)
S (0.233, 0.711, 0.466)
S (0.262, 0.285, 0.523)
S (0.746, 0.711, 0.978)
S (0.254, 0.289, 0.022)
S (0.738, 0.715, 0.477)
S (0.767, 0.289, 0.534)
S (0.767, 0.289, 0.022)

Values from the calculation:
Its calculated total energy is -0.19419 hartree per atom. For the formation energy without anion corrections, the calculation gives -1.8770 eV/atom. The density of states at the Fermi level is 0.00 states/eV/cell.



Number 1: volume 13.7 Å³ per atom. Number 2: volume 15.7 Å³ per atom. Number 3: volume 19.7 Å³ per atom. Number 4: volume 14.9 Å³ per atom. Number 5: volume 15.1 Å³ per atom. Number 6: volume 14.4 Å³ per atom. Number 7: volume 19.5 Å³ per atom. Number 8: volume 30.9 Å³ per atom.